No. 1
LaGaOF2: relaxed, PBE.

formation energy from raw total energies	-2113	meV/atom
uncorrected energy	-0.400	Ry per atom
D(E_F)	0.77	states/eV per atom

Cell: 4.436 4.436 3.943 Å, 90.00 90.00 90.00°
Space group P4/mmm (No. 123)
Asymmetric unit:
La 0.000 0.000 0.000
Ga 0.500 0.500 0.500
O 0.500 0.500 0.000
F 0.000 0.500 0.500

---

No. 2
LaGaOF2: relaxed, PBE.

formation energy from raw total energies	-2661	meV/atom
uncorrected energy	-0.440	Ry per atom
D(E_F)	0.00	states/eV per atom

Cell: 4.760 4.760 4.596 Å, 90.00 90.00 90.00°
Space group P4/mmm (No. 123)
Asymmetric unit:
La 0.000 0.000 0.000
Ga 0.500 0.500 0.500
O 0.000 0.000 0.500
F 0.000 0.500 0.000